No. 1
Material: KLi2NbS4
Method: DFT, PBE-GGA
State: optimized geometry Values from VASP.

energy relative to the elements, uncorrected = -1167 meV per atom
total energy = -5.1050 eV per atom

```
&SYSTEM
  ibrav = 0, nat = 8, ntyp = 4
/
ATOMIC_SPECIES
S 32.06 S.upf
Li 6.94 Li.upf
K 39.10 K.upf
Nb 92.91 Nb.upf
CELL_PARAMETERS angstrom
-2.6927 -5.6489 -1.4898
6.0503 -2.1637 -0.3054
-1.8512 2.7745 5.5005
ATOMIC_POSITIONS angstrom
S 1.0558 -3.3863 2.1712
S -0.4540 -6.1696 -1.5340
S 4.8485 -4.0558 -0.8157
S -0.5863 0.7610 2.0885
Li -1.4325 -3.3904 1.5565
Li 2.9389 -1.6477 2.1487
K 1.6788 -3.9063 -0.8976
Nb 0.0000 0.0000 0.0000
```

No. 2
Material: SiBi2SCl
Method: DFT, PBE-GGA
State: optimized geometry Values from VASP.

energy relative to the elements, uncorrected = 954 meV per atom
total energy = -2.8781 eV per atom

```
&SYSTEM
  ibrav = 0, nat = 5, ntyp = 4
/
ATOMIC_SPECIES
Bi 208.98 Bi.upf
Cl 35.45 Cl.upf
Si 28.09 Si.upf
S 32.06 S.upf
CELL_PARAMETERS angstrom
5.5936 0.0000 0.0000
0.0000 4.4671 0.0000
0.0000 0.0000 5.5936
ATOMIC_POSITIONS angstrom
Bi 2.7968 0.0000 0.0000
Bi 0.0000 0.0000 2.7968
Cl 0.0000 0.0000 0.0000
Si 2.7968 2.2335 2.7968
S 0.0000 2.2335 0.0000
```

No. 3
Material: TiNbTe
Method: DFT, PBE-GGA
State: optimized geometry Values from VASP.

energy relative to the elements, uncorrected = -327 meV per atom
total energy = -7.3625 eV per atom
relative energy among the computed polymorphs = 38 meV per atom

```
&SYSTEM
  ibrav = 0, nat = 12, ntyp = 3
/
ATOMIC_SPECIES
Te 127.60 Te.upf
Ti 47.87 Ti.upf
Nb 92.91 Nb.upf
CELL_PARAMETERS angstrom
3.5966 0.0000 0.0000
0.0000 3.5736 0.0000
0.0000 0.0000 18.4605
ATOMIC_POSITIONS angstrom
Te 0.0000 1.7868 0.7311
Te 0.0000 1.7868 6.5837
Te 0.0000 0.0000 15.8139
Te 0.0000 0.0000 9.9614
Ti 1.7983 1.7868 11.2160
Ti 1.7983 0.0000 1.9857
Ti 1.7983 1.7868 17.1279
Ti 1.7983 0.0000 7.8977
Nb 1.7983 1.7868 14.1491
Nb 1.7983 0.0000 4.9188
Nb 0.0000 0.0000 12.8148
Nb 0.0000 1.7868 3.5845
```

No. 4
Material: Ta2Sb2Pd
Method: DFT, PBE-GGA
State: optimized geometry Values from VASP.

energy relative to the elements, uncorrected = 109 meV per atom
total energy = -7.3197 eV per atom
relative energy among the computed polymorphs = 0 meV per atom

```
&SYSTEM
  ibrav = 0, nat = 10, ntyp = 3
/
ATOMIC_SPECIES
Ta 180.95 Ta.upf
Sb 121.76 Sb.upf
Pd 106.42 Pd.upf
CELL_PARAMETERS angstrom
-5.1474 -5.0936 -1.4837
5.0999 -4.1809 -3.3396
0.7415 -1.6985 3.2587
ATOMIC_POSITIONS angstrom
Ta 2.5326 -5.4693 -3.4270
Ta -1.2070 -7.0602 -3.4054
Ta -2.5802 -3.8053 -1.3963
Ta 1.1595 -2.2143 -1.4180
Sb 2.9131 -4.4257 -0.8133
Sb -0.5611 -3.2498 0.5901
Sb 1.2551 -7.7232 -2.1548
Sb -2.2191 -6.5473 -0.7514
Pd -0.0238 -4.6373 -2.4117
Pd 0.0000 0.0000 0.0000
```

No. 5
Material: KS
Method: DFT, PBE-GGA
State: optimized geometry Values from VASP.

energy relative to the elements, uncorrected = -738 meV per atom
total energy = -3.3502 eV per atom

```
&SYSTEM
  ibrav = 0, nat = 12, ntyp = 2
/
ATOMIC_SPECIES
S 32.06 S.upf
K 39.10 K.upf
CELL_PARAMETERS angstrom
13.5157 0.0000 0.0000
0.0000 5.1726 0.0000
0.0000 0.0000 6.2290
ATOMIC_POSITIONS angstrom
S 0.0000 0.0000 3.2391
S 2.1083 0.0000 4.2335
S 8.8662 2.5863 1.1190
S 4.6495 2.5863 1.1190
S 11.4074 0.0000 4.2335
S 6.7578 2.5863 0.1246
K 0.0000 2.5863 4.7445
K 10.8061 0.0000 1.1245
K 4.0482 2.5863 4.2389
K 2.7096 0.0000 1.1245
K 9.4675 2.5863 4.2389
K 6.7578 0.0000 1.6300
```

No. 6
Material: BaCrNi2
Method: DFT, PBE-GGA
State: optimized geometry Values from VASP.

ΔH_f (0 K) = 0.726 eV per atom
total energy = -5.0515 eV per atom
relative energy among the computed polymorphs = 526 meV per atom

```
&SYSTEM
  ibrav = 0, nat = 4, ntyp = 3
/
ATOMIC_SPECIES
Ni 58.69 Ni.upf
Ba 137.33 Ba.upf
Cr 52.00 Cr.upf
CELL_PARAMETERS angstrom
0.0000 3.3834 3.3834
3.3834 0.0000 3.3834
3.3834 3.3834 0.0000
ATOMIC_POSITIONS angstrom
Ni 1.6917 1.6917 1.6917
Ni 5.0750 5.0750 5.0750
Ba 3.3834 3.3834 3.3834
Cr 0.0000 0.0000 0.0000
```

No. 7
Material: LiP3N
Method: DFT, PBE-GGA
State: optimized geometry Values from VASP.

energy relative to the elements, uncorrected = 715 meV per atom
total energy = -4.5787 eV per atom
relative energy among the computed polymorphs = 0 meV per atom

```
&SYSTEM
  ibrav = 0, nat = 5, ntyp = 3
/
ATOMIC_SPECIES
N 14.01 N.upf
P 30.97 P.upf
Li 6.94 Li.upf
CELL_PARAMETERS angstrom
4.0967 0.0000 0.0000
0.0000 4.0967 0.0000
0.0000 0.0000 4.0967
ATOMIC_POSITIONS angstrom
N 0.0000 0.0000 0.0000
P 2.0484 0.0000 0.0000
P 0.0000 2.0484 0.0000
P 0.0000 0.0000 2.0484
Li 2.0484 2.0484 2.0484
```

No. 8
Material: Sr3Hg2Ge
Method: DFT, PBE-GGA
State: optimized geometry Values from VASP.

ΔH_f (0 K) = -0.535 eV per atom
total energy = -2.2461 eV per atom

```
&SYSTEM
  ibrav = 0, nat = 12, ntyp = 3
/
ATOMIC_SPECIES
Hg 200.59 Hg.upf
Sr 87.62 Sr.upf
Ge 72.64 Ge.upf
CELL_PARAMETERS angstrom
-2.1160 -4.5795 -2.3429
6.2046 -3.6163 -5.1378
2.5763 -4.3476 6.1713
ATOMIC_POSITIONS angstrom
Hg 1.2881 -2.1738 3.0856
Hg 2.6354 -4.9029 0.6006
Hg 0.0000 0.0000 0.0000
Hg 4.0294 -7.6405 -1.9100
Sr 0.9719 -6.0525 -2.2523
Sr -0.4326 -3.3450 0.3266
Sr 4.3249 -4.1819 -2.3342
Sr 0.8929 -5.5821 3.5017
Sr 5.6929 -6.4909 0.9428
Sr 2.3399 -8.3615 1.0248
Ge 1.2658 -2.7142 -2.4406
Ge 2.8228 -5.4816 -5.0401
```

Q: Number 3 is which compound?
A: TiNbTe